Record 1
Density functional theory data (GGA-PBEsol) for an optimized crystal structure of ScOs2Pt.

Geometry as POSCAR:
```
ScOs2Pt
1.0
2.798 0.000 0.000
1.399 2.423 0.000
1.399 0.808 9.032
Os Pt Sc
2 1 1
Direct
0.004 0.004 0.987
0.747 0.747 0.759
0.499 0.499 0.503
0.250 0.250 0.251
```

Values from the calculation:
Energy relative to the elements (eV/atom): 0.00
Volume (A^3/atom): 15.31
Symmetry: R3m

=====

Record 2
Density functional theory data (GGA-PBEsol) for an optimized crystal structure of ScOsPt3.

Geometry as POSCAR:
```
ScOsPt3
1.0
-0.557 4.510 0.740
-0.125 -0.760 4.540
4.569 0.529 0.215
Sc Os Pt
1 1 3
Direct
0.000 0.000 0.000
0.500 0.500 0.500
0.000 0.500 0.000
0.000 0.000 0.500
0.500 0.000 0.000
```

Values from the calculation:
Energy relative to the elements (eV/atom): 1.56
Volume (A^3/atom): 19.53
Symmetry: Pm-3m

=====

Record 3
Density functional theory data (GGA-PBEsol) for an optimized crystal structure of ScOsPt2.

Geometry as POSCAR:
```
ScOsPt2
1.0
-2.384 2.532 -1.766
-3.058 -2.241 0.916
2.290 1.852 3.871
Os Pt Sc
1 2 1
Direct
0.000 0.000 0.000
0.250 0.750 0.500
0.750 0.250 0.500
0.500 0.500 0.000
```

Values from the calculation:
Energy relative to the elements (eV/atom): -0.49
Volume (A^3/atom): 15.24
Symmetry: I4/mmm

=====

Record 4
Density functional theory data (GGA-PBEsol) for an optimized crystal structure of Sc2OsPt.

Geometry as POSCAR:
```
Sc2OsPt
1.0
4.532 0.000 0.000
2.266 3.925 0.000
2.266 1.308 3.700
Sc Os Pt
2 1 1
Direct
0.250 0.250 0.250
0.750 0.750 0.750
0.000 0.000 0.000
0.500 0.500 0.500
```

Values from the calculation:
Energy relative to the elements (eV/atom): -0.83
Volume (A^3/atom): 16.45
Excess energy over the best structure of this formula in the dataset (meV/atom): 37
Symmetry: Fm-3m

=====

Record 5
Density functional theory data (GGA-PBEsol) for an optimized crystal structure of Sc2OsPt.

Geometry as POSCAR:
```
Sc2OsPt
1.0
-1.966 -1.551 -1.679
-0.069 -3.010 0.154
-6.835 -1.034 6.252
Os Pt Sc
1 1 2
Direct
0.499 0.499 0.502
0.249 0.249 0.253
0.989 0.989 0.032
0.762 0.762 0.713
```

Values from the calculation:
Energy relative to the elements (eV/atom): 0.05
Volume (A^3/atom): 18.01
Excess energy over the best structure of this formula in the dataset (meV/atom): 916
Symmetry: R3m

=====

Record 6
Density functional theory data (GGA-PBEsol) for an optimized crystal structure of ScOsPt2.

Geometry as POSCAR:
```
ScOsPt2
1.0
-0.995 1.333 -4.157
2.806 -0.900 -3.371
-1.130 -3.018 -3.109
Os Pt Sc
1 2 1
Direct
0.000 0.000 0.000
0.250 0.250 0.250
0.750 0.750 0.750
0.500 0.500 0.500
```

Values from the calculation:
Energy relative to the elements (eV/atom): -0.18
Volume (A^3/atom): 15.87
Symmetry: Fm-3m

=====

Record 7
Density functional theory data (GGA-PBEsol) for an optimized crystal structure of ScOsPt2.

Geometry as POSCAR:
```
ScOsPt2
1.0
-2.653 -0.843 -0.367
-1.081 -1.994 1.654
-4.061 5.394 6.234
Os Pt Sc
1 2 1
Direct
0.500 0.500 0.500
0.248 0.248 0.255
0.752 0.752 0.745
0.000 0.000 0.000
```

Values from the calculation:
Energy relative to the elements (eV/atom): -0.14
Volume (A^3/atom): 15.43
Symmetry: R-3m

=====

Record 8
Density functional theory data (GGA-PBEsol) for an optimized crystal structure of ScOs2Pt.

Geometry as POSCAR:
```
ScOs2Pt
1.0
2.802 0.000 0.000
0.000 2.802 0.000
0.000 0.000 7.825
Os Pt Sc
2 1 1
Direct
0.000 0.000 0.022
0.500 0.500 0.236
0.000 0.000 0.491
0.500 0.500 0.752
```

Values from the calculation:
Energy relative to the elements (eV/atom): -0.28
Volume (A^3/atom): 15.36
Symmetry: P4mm

=====

Record 9
Density functional theory data (GGA-PBEsol) for an optimized crystal structure of ScOsPt2.

Geometry as POSCAR:
```
ScOsPt2
1.0
-1.899 0.962 -1.858
-1.988 -1.733 -1.013
-6.761 2.049 5.822
Os Pt Sc
1 2 1
Direct
0.749 0.749 0.754
0.002 0.002 0.993
0.248 0.248 0.255
0.501 0.501 0.498
```

Values from the calculation:
Energy relative to the elements (eV/atom): -0.09
Volume (A^3/atom): 15.57
Symmetry: R3m

=====

Record 10
Density functional theory data (GGA-PBEsol) for an optimized crystal structure of ScOsPt.

Geometry as POSCAR:
```
ScOsPt
1.0
-1.158 -3.792 -1.676
2.111 -1.585 -3.400
2.559 -3.430 0.463
Os Pt Sc
1 1 1
Direct
0.500 0.500 0.500
0.250 0.250 0.250
0.000 0.000 0.000
```

Values from the calculation:
Energy relative to the elements (eV/atom): 0.17
Volume (A^3/atom): 18.79
Symmetry: F-43m

=====

Record 11
Density functional theory data (GGA-PBEsol) for an optimized crystal structure of OsPt2Se.

Geometry as POSCAR:
```
OsPt2Se
1.0
2.871 0.000 0.000
1.436 2.486 0.000
1.436 0.829 8.538
Os Pt Se
1 2 1
Direct
0.246 0.246 0.263
0.997 0.997 0.009
0.752 0.752 0.745
0.506 0.506 0.483
```

Values from the calculation:
Volume (A^3/atom): 15.24
Symmetry: R3m
Raw formation energy (eV per atom): 0.264

=====

Record 12
Density functional theory data (GGA-PBEsol) for an optimized crystal structure of Zr2OsPtSe.

Geometry as POSCAR:
```
Zr2OsPtSe
1.0
4.708 0.000 0.000
0.000 5.001 0.000
0.000 0.000 5.001
Se Os Zr Pt
1 1 2 1
Direct
0.500 0.500 0.500
0.000 0.000 0.000
0.000 0.000 0.500
0.000 0.500 0.000
0.500 0.000 0.000
```

Values from the calculation:
Volume (A^3/atom): 23.55
Symmetry: P4/mmm
Raw formation energy (eV per atom): 0.429